[1]
{
  "formula": "Y2TeIrS",
  "functional": "PBE",
  "state": "relaxed",
  "lattice_angstrom": [[-3.9597, 0.5943, 3.1879], [2.6469, -2.0744, 3.6745], [1.7661, 4.6150, 1.3332]],
  "species": ["Y", "Y", "S", "Ir", "Te"],
  "fractional_positions": [[0.0000, 0.0000, 0.5000], [0.5000, 0.0000, 0.0000], [0.0000, 0.0000, 0.0000], [0.5000, 0.5000, 0.5000], [0.0000, 0.5000, 0.0000]],
  "dft_energy_ev_per_atom": -5.847,
  "space_group": "No. 123",
  "e_form_raw_kj_per_mol_atoms": -3
}

=====

[2]
{
  "formula": "Th4ZnIrS2",
  "functional": "PBE",
  "state": "relaxed",
  "lattice_angstrom": [[-2.7741, -2.9345, -0.6847], [4.6880, -3.3774, -4.5197], [3.9709, -4.6470, 3.8276]],
  "species": ["Th", "Th", "Th", "Th", "Zn", "Ir", "S", "S"],
  "fractional_positions": [[0.0000, 0.7414, 0.7630], [0.0000, 0.2586, 0.2370], [0.5000, 0.7568, 0.2361], [0.5000, 0.2433, 0.7639], [0.0000, 0.5000, 0.5000], [0.5000, 0.5000, 0.0000], [0.0000, 0.0000, 0.0000], [0.5000, 0.0000, 0.5000]],
  "dft_energy_ev_per_atom": -7.098,
  "space_group": "No. 10",
  "e_form_raw_kj_per_mol_atoms": -105
}

=====

[3]
{
  "formula": "TiIr3S",
  "functional": "PBE",
  "state": "relaxed",
  "lattice_angstrom": [[4.3990, 0.0000, 0.0000], [0.0000, 4.3990, 0.0000], [0.0000, 0.0000, 4.3990]],
  "species": ["S", "Ir", "Ir", "Ir", "Ti"],
  "fractional_positions": [[0.0000, 0.0000, 0.0000], [0.0000, 0.5000, 0.0000], [0.0000, 0.0000, 0.5000], [0.5000, 0.0000, 0.0000], [0.5000, 0.5000, 0.5000]],
  "dft_energy_ev_per_atom": -7.173,
  "space_group": "No. 221",
  "e_form_raw_kj_per_mol_atoms": 53
}

=====

[4]
{
  "formula": "TiIrS4",
  "functional": "PBE",
  "state": "relaxed",
  "lattice_angstrom": [[-3.6496, -0.7207, -4.4921], [-2.6700, -4.2610, 2.8528], [-3.6323, 3.9596, 2.5146]],
  "species": ["Ti", "Ti", "Ir", "Ir", "S", "S", "S", "S", "S", "S", "S", "S"],
  "fractional_positions": [[0.0000, 0.0000, 0.0000], [0.5000, 0.5000, 0.0000], [0.5000, 0.0000, 0.5000], [0.0000, 0.5000, 0.5000], [0.8698, 0.6335, 0.1411], [0.6302, 0.1335, 0.8589], [0.3630, 0.3695, 0.3709], [0.1370, 0.8695, 0.6291], [0.1302, 0.3665, 0.8589], [0.3698, 0.8665, 0.1411], [0.6370, 0.6305, 0.6291], [0.8630, 0.1305, 0.3709]],
  "dft_energy_ev_per_atom": -6.170,
  "space_group": "No. 14",
  "e_form_raw_kj_per_mol_atoms": -60,
  "relative_energy_ev_per_atom": 0.119
}

=====

[5]
{
  "formula": "TiIrS4",
  "functional": "PBE",
  "state": "relaxed",
  "lattice_angstrom": [[-2.4909, -1.4413, 1.9653], [4.3160, -3.6013, 2.8292], [0.9389, 3.7886, 3.9685]],
  "species": ["Ti", "Ir", "S", "S", "S", "S"],
  "fractional_positions": [[0.0000, 0.0000, 0.0000], [0.5000, 0.0000, 0.5000], [0.0000, 0.7750, 0.6607], [0.5000, 0.2328, 0.8311], [0.5000, 0.7672, 0.1689], [0.0000, 0.2250, 0.3393]],
  "dft_energy_ev_per_atom": -6.289,
  "space_group": "No. 10",
  "e_form_raw_kj_per_mol_atoms": -72,
  "relative_energy_ev_per_atom": 0.000
}

=====

[6]
{
  "formula": "TiIrS3",
  "functional": "PBE",
  "state": "relaxed",
  "lattice_angstrom": [[-0.8827, -0.8843, 4.4267], [4.3026, -1.5293, 0.5524], [1.3656, 4.2468, 1.1207]],
  "species": ["S", "S", "S", "Ir", "Ti"],
  "fractional_positions": [[0.0000, 0.5000, 0.0000], [0.0000, 0.0000, 0.5000], [0.5000, 0.0000, 0.0000], [0.0000, 0.0000, 0.0000], [0.5000, 0.5000, 0.5000]],
  "dft_energy_ev_per_atom": -5.431,
  "space_group": "No. 221",
  "e_form_raw_kj_per_mol_atoms": 38,
  "relative_energy_ev_per_atom": 1.039
}

=====

[7]
{
  "formula": "Ti3IrS8",
  "functional": "PBE",
  "state": "relaxed",
  "lattice_angstrom": [[-3.1182, 4.9956, -3.1465], [0.4602, -5.9981, -2.8951], [-5.0765, 0.5487, 5.9021]],
  "species": ["Ti", "Ti", "Ti", "Ir", "S", "S", "S", "S", "S", "S", "S", "S"],
  "fractional_positions": [[0.5000, 0.0000, 0.0000], [0.5000, 0.5000, 0.0000], [0.0000, 0.5000, 0.0000], [0.0000, 0.0000, 0.0000], [0.2596, 0.5192, 0.7830], [0.7404, 0.4808, 0.2170], [0.2573, 0.0178, 0.7826], [0.7605, 0.0178, 0.7826], [0.7605, 0.5210, 0.7826], [0.2395, 0.4790, 0.2174], [0.2395, 0.9822, 0.2174], [0.7427, 0.9822, 0.2174]],
  "dft_energy_ev_per_atom": -6.466,
  "space_group": "No. 12",
  "e_form_raw_kj_per_mol_atoms": -97
}

=====

[8]
{
  "formula": "Ti4IrS",
  "functional": "PBE",
  "state": "relaxed",
  "lattice_angstrom": [[-5.0851, 1.6608, 0.1104], [-1.7511, -5.4021, 0.6152], [3.4354, 1.4899, 6.1039]],
  "species": ["Ti", "Ti", "Ti", "Ti", "Ti", "Ti", "Ti", "Ti", "Ir", "Ir", "S", "S"],
  "fractional_positions": [[0.5370, 0.0230, 0.8384], [0.6984, 0.4767, 0.1616], [0.4630, 0.9770, 0.1616], [0.3016, 0.5233, 0.8384], [0.9530, 0.8970, 0.6663], [0.2870, 0.6028, 0.3343], [0.0470, 0.1030, 0.3337], [0.7130, 0.3972, 0.6657], [0.9061, 0.7499, 0.9998], [0.0939, 0.2501, 0.0002], [0.5000, 0.0000, 0.5000], [0.0000, 0.5000, 0.5000]],
  "dft_energy_ev_per_atom": -8.053,
  "space_group": "No. 15",
  "e_form_raw_kj_per_mol_atoms": -60
}

=====

[9]
{
  "formula": "Ti3IrS",
  "functional": "PBE",
  "state": "relaxed",
  "lattice_angstrom": [[-3.4522, -1.5727, 2.8807], [1.4823, -4.4773, -0.6680], [2.9283, 0.4123, 3.7343]],
  "species": ["S", "Ir", "Ti", "Ti", "Ti"],
  "fractional_positions": [[0.5000, 0.5000, 0.5000], [0.0000, 0.0000, 0.0000], [0.0000, 0.5000, 0.0000], [0.0000, 0.0000, 0.5000], [0.5000, 0.0000, 0.0000]],
  "dft_energy_ev_per_atom": -7.071,
  "space_group": "No. 221",
  "e_form_raw_kj_per_mol_atoms": 25,
  "relative_energy_ev_per_atom": 0.656
}

=====

[10]
{
  "formula": "Ti2IrS",
  "functional": "PBE",
  "state": "relaxed",
  "lattice_angstrom": [[-5.2821, -4.0391, 0.7233], [0.2282, -1.4663, -6.5220], [-0.7791, -4.9395, -2.3465]],
  "species": ["S", "S", "Ir", "Ir", "Ti", "Ti", "Ti", "Ti"],
  "fractional_positions": [[0.5000, 0.5000, 0.0000], [0.2500, 0.7500, 0.5000], [0.0000, 0.0000, 0.0000], [0.7500, 0.2500, 0.5000], [0.6048, 0.1250, 0.2500], [0.1452, 0.6250, 0.2500], [0.3750, 0.3952, 0.7500], [0.8750, 0.8548, 0.7500]],
  "dft_energy_ev_per_atom": -7.704,
  "space_group": "No. 122",
  "e_form_raw_kj_per_mol_atoms": -49
}

=====

[11]
{
  "formula": "TiIrS3",
  "functional": "PBE",
  "state": "relaxed",
  "lattice_angstrom": [[6.3740, 0.3254, 0.9174], [1.0643, 7.7508, 0.7103], [0.4609, -0.4931, 7.8266]],
  "species": ["Ti", "Ti", "Ti", "Ti", "Ir", "Ir", "Ir", "Ir", "S", "S", "S", "S", "S", "S", "S", "S", "S", "S", "S", "S"],
  "fractional_positions": [[0.2500, 0.3249, 0.6751], [0.7500, 0.6751, 0.3249], [0.2500, 0.9657, 0.0343], [0.7500, 0.0343, 0.9657], [0.4767, 0.8407, 0.6678], [0.0233, 0.3322, 0.1593], [0.5233, 0.1593, 0.3322], [0.9767, 0.6678, 0.8407], [0.0781, 0.6317, 0.1167], [0.4219, 0.8833, 0.3683], [0.9219, 0.3683, 0.8833], [0.5781, 0.1167, 0.6317], [0.6489, 0.4252, 0.2862], [0.8511, 0.7138, 0.5748], [0.3511, 0.5748, 0.7138], [0.1489, 0.2862, 0.4252], [0.5967, 0.7841, 0.9488], [0.9033, 0.0512, 0.2159], [0.4033, 0.2159, 0.0512], [0.0967, 0.9488, 0.7841]],
  "dft_energy_ev_per_atom": -6.470,
  "space_group": "No. 15",
  "e_form_raw_kj_per_mol_atoms": -62,
  "relative_energy_ev_per_atom": 0.000
}

=====

[12]
{
  "formula": "TiIrS3",
  "functional": "PBE",
  "state": "relaxed",
  "lattice_angstrom": [[4.6099, 0.0000, 0.0000], [0.0000, 4.6099, 0.0000], [0.0000, 0.0000, 4.6099]],
  "species": ["S", "S", "S", "Ir", "Ti"],
  "fractional_positions": [[0.0000, 0.5000, 0.0000], [0.0000, 0.0000, 0.5000], [0.5000, 0.0000, 0.0000], [0.5000, 0.5000, 0.5000], [0.0000, 0.0000, 0.0000]],
  "dft_energy_ev_per_atom": -5.319,
  "space_group": "No. 221",
  "e_form_raw_kj_per_mol_atoms": 49,
  "relative_energy_ev_per_atom": 1.151
}

=====

[13]
{
  "formula": "Ti3IrS",
  "functional": "PBE",
  "state": "relaxed",
  "lattice_angstrom": [[-2.9086, -2.4779, 2.1538], [-1.6974, -1.3282, -3.8202], [2.8103, -3.3667, -0.0782]],
  "species": ["S", "Ir", "Ti", "Ti", "Ti"],
  "fractional_positions": [[0.0000, 0.0000, 0.0000], [0.5000, 0.5000, 0.5000], [0.0000, 0.5000, 0.0000], [0.0000, 0.0000, 0.5000], [0.5000, 0.0000, 0.0000]],
  "dft_energy_ev_per_atom": -7.728,
  "space_group": "No. 221",
  "e_form_raw_kj_per_mol_atoms": -38,
  "relative_energy_ev_per_atom": 0.000
}

=====

[14]
{
  "formula": "TiTlIrS2",
  "functional": "PBE",
  "state": "relaxed",
  "lattice_angstrom": [[-4.1858, 0.5532, 2.2192], [-2.3259, -1.1038, -4.1119], [0.0361, -4.6118, 1.2176]],
  "species": ["Tl", "Ir", "S", "S", "Ti"],
  "fractional_positions": [[0.5000, 0.5000, 0.5000], [0.0000, 0.0000, 0.0000], [0.0000, 0.0000, 0.5000], [0.5000, 0.0000, 0.0000], [0.0000, 0.5000, 0.0000]],
  "dft_energy_ev_per_atom": -5.196,
  "space_group": "No. 123",
  "e_form_raw_kj_per_mol_atoms": 27
}

=====

[15]
{
  "formula": "Ti2ZnIrS",
  "functional": "PBE",
  "state": "relaxed",
  "lattice_angstrom": [[-1.3032, -2.0820, 4.0907], [3.1122, -3.5264, -0.8033], [2.8901, 2.0977, 1.9884]],
  "species": ["Zn", "Ir", "S", "Ti", "Ti"],
  "fractional_positions": [[0.0000, 0.0000, 0.0000], [0.5000, 0.5000, 0.5000], [0.0000, 0.0000, 0.5000], [0.0000, 0.5000, 0.0000], [0.5000, 0.0000, 0.0000]],
  "dft_energy_ev_per_atom": -5.024,
  "space_group": "No. 123",
  "e_form_raw_kj_per_mol_atoms": 95
}

=====

[16]
{
  "formula": "TlIrS2",
  "functional": "PBE",
  "state": "relaxed",
  "lattice_angstrom": [[0.9383, 4.5530, 9.1213], [3.6990, 5.0831, 8.0801], [1.4520, 6.9412, 7.3837]],
  "species": ["Tl", "Ir", "S", "S"],
  "fractional_positions": [[0.5000, 0.5000, 0.5000], [0.0000, 0.0000, 0.0000], [0.9263, 0.9263, 0.9263], [0.0737, 0.0737, 0.0737]],
  "dft_energy_ev_per_atom": -4.485,
  "space_group": "No. 166",
  "e_form_raw_kj_per_mol_atoms": 37,
  "relative_energy_ev_per_atom": 0.737
}

=====

[17]
{
  "formula": "TlIrS2",
  "functional": "PBE",
  "state": "relaxed",
  "lattice_angstrom": [[7.2111, 0.0000, 0.0000], [0.0000, 7.2111, 0.0000], [3.6056, 3.6056, 3.5975]],
  "species": ["Tl", "Tl", "Ir", "Ir", "S", "S", "S", "S"],
  "fractional_positions": [[0.0000, 0.0000, 0.0000], [0.7500, 0.2500, 0.5000], [0.5000, 0.5000, 0.0000], [0.2500, 0.7500, 0.5000], [0.5175, 0.1250, 0.2500], [0.2325, 0.6250, 0.2500], [0.3750, 0.4825, 0.7500], [0.8750, 0.7675, 0.7500]],
  "dft_energy_ev_per_atom": -5.063,
  "space_group": "No. 122",
  "e_form_raw_kj_per_mol_atoms": -19,
  "relative_energy_ev_per_atom": 0.159
}

=====

[18]
{
  "formula": "Tl2Ir3S6",
  "functional": "PBE",
  "state": "relaxed",
  "lattice_angstrom": [[6.0341, 0.0000, 1.8067], [3.0170, 5.4603, 0.9034], [-0.0023, 0.0000, 7.3979]],
  "species": ["Tl", "Tl", "Ir", "Ir", "Ir", "S", "S", "S", "S", "S", "S"],
  "fractional_positions": [[0.1652, 0.6696, 0.5000], [0.8348, 0.3304, 0.5000], [0.0000, 0.0000, 0.0000], [0.3312, 0.3377, 0.0000], [0.6688, 0.6623, 0.0000], [0.3883, 0.6669, 0.8362], [0.7211, 0.0000, 0.8376], [0.0551, 0.3331, 0.8362], [0.2789, 0.0000, 0.1624], [0.6117, 0.3331, 0.1638], [0.9449, 0.6669, 0.1638]],
  "dft_energy_ev_per_atom": -5.452,
  "space_group": "No. 12",
  "e_form_raw_kj_per_mol_atoms": -34
}

=====

[19]
{
  "formula": "TlIr2S",
  "functional": "PBE",
  "state": "relaxed",
  "lattice_angstrom": [[4.7383, 0.0000, 0.0000], [0.0000, 4.7383, 0.0000], [2.3692, 2.3692, 7.5841]],
  "species": ["Tl", "Tl", "Ir", "Ir", "Ir", "Ir", "S", "S"],
  "fractional_positions": [[0.0000, 0.0000, 0.0000], [0.7500, 0.2500, 0.5000], [0.4828, 0.1250, 0.2500], [0.2672, 0.6250, 0.2500], [0.3750, 0.5172, 0.7500], [0.8750, 0.7328, 0.7500], [0.5000, 0.5000, 0.0000], [0.2500, 0.7500, 0.5000]],
  "dft_energy_ev_per_atom": -5.781,
  "space_group": "No. 122",
  "e_form_raw_kj_per_mol_atoms": 26,
  "relative_energy_ev_per_atom": 0.000
}

=====

[20]
{
  "formula": "TlIrS2",
  "functional": "PBE",
  "state": "relaxed",
  "lattice_angstrom": [[1.4608, 1.3355, 4.2129], [0.4481, 4.5281, 0.9806], [-2.9624, 2.0468, 2.9498]],
  "species": ["Tl", "Ir", "S", "S"],
  "fractional_positions": [[0.5000, 0.5000, 0.5000], [0.0000, 0.0000, 0.0000], [0.2500, 0.2500, 0.2500], [0.7500, 0.7500, 0.7500]],
  "dft_energy_ev_per_atom": -4.137,
  "space_group": "No. 225",
  "e_form_raw_kj_per_mol_atoms": 71,
  "relative_energy_ev_per_atom": 1.085
}